Material: Li8LaCd4
Method: DFT, PBE
State: optimized geometry

abc: 7.4767 7.4767 7.4767
angles: 98.55 98.55 134.64
With the nearest neighbours (Å) after each atom.
Element x y z (fractional)
Li 0.0000 0.2192 0.2192  4 Cd 2.85, 6 Li 3.02-3.15
Li 0.0000 0.7808 0.7808  4 Cd 2.85, 6 Li 3.02-3.15
Li 0.1502 0.5000 0.6502  5 Li 2.93-3.15, 4 Cd 3.00
Li 0.2192 0.0000 0.2192  4 Cd 2.85, 6 Li 3.02-3.15
Li 0.5000 0.1502 0.6502  5 Li 2.93-3.15, 4 Cd 3.00
Li 0.5000 0.8498 0.3498  5 Li 2.93-3.15, 4 Cd 3.00
Li 0.7808 0.0000 0.7808  4 Cd 2.85, 6 Li 3.02-3.15
Li 0.8498 0.5000 0.3498  5 Li 2.93-3.15, 4 Cd 3.00
La 0.5000 0.5000 0.0000  12 Li 3.41-3.59, 8 Cd 3.74
Cd 0.0000 0.0000 0.5000  8 Li 2.85-3.00, 2 Cd 2.88
Cd 0.0000 0.5000 0.0000  8 Li 2.85-3.00, 2 Cd 2.88
Cd 0.5000 0.0000 0.0000  8 Li 2.85-3.00, 2 Cd 2.88
Cd 0.5000 0.5000 0.5000  8 Li 2.85-3.00, 2 Cd 2.88

Magnetization, μB per formula unit: 0.00
Symmetry: I4/mmm (139)
DFT formation energy, eV/atom: -0.168
V, Å³/cell: 274
DOS at the Fermi energy, states/eV/atom: 0.49